ScOsC3 after structural relaxation, computed with PBE.

abc: 4.005 4.005 4.005
angles: 90.00 90.00 90.00
Element x y z (fractional)
Sc 0.000 0.000 0.000
C 0.000 0.500 0.000
C 0.000 0.000 0.500
C 0.500 0.000 0.000
Os 0.500 0.500 0.500

The value obtained for the formation energy is 3.023 eV per atom. The density of states at the Fermi level comes out at 0.9122 states/eV/atom.

---

ClF after structural relaxation, computed with PBE.

abc: 6.531 12.577 10.320
angles: 90.00 90.00 90.00
Element x y z (fractional)
Cl 0.750 0.501 0.250
F 0.500 0.000 0.654
F 0.500 0.500 0.154
Cl 0.250 0.001 0.250
F 0.250 0.250 0.596
Cl 0.000 0.249 0.500
Cl 0.250 0.999 0.750
F 0.000 0.500 0.346
Cl 0.500 0.251 0.500
F 0.500 0.000 0.346
F 0.750 0.250 0.096
F 0.750 0.250 0.404
Cl 0.500 0.751 0.000
Cl 0.000 0.251 0.000
F 0.250 0.750 0.096
Cl 0.750 0.001 0.750
Cl 0.250 0.499 0.250
F 0.500 0.500 0.846
F 0.750 0.750 0.596
Cl 0.000 0.749 0.000
Cl 0.750 0.999 0.250
Cl 0.250 0.501 0.750
Cl 0.500 0.249 0.000
F 0.250 0.250 0.904
F 0.000 0.500 0.654
Cl 0.500 0.749 0.500
F 0.250 0.750 0.404
F 0.750 0.750 0.904
Cl 0.750 0.499 0.750
F 0.000 0.000 0.154
F 0.000 0.000 0.846
Cl 0.000 0.751 0.500

As for the raw formation energy: -275 meV/atom.

---

Rb2MnGaBr6 after structural relaxation, computed with PBE.

abc: 7.667 7.667 7.670
angles: 60.01 60.01 90.00
Each line ends with the local moment (μB).
Element x y z (fractional)
Ga 0.000 0.000 0.000  -0.12
Br 0.256 0.744 0.000  0.00
Br 0.256 0.256 0.000  0.00
Br 0.744 0.256 0.000  0.00
Br 0.256 0.256 0.488  0.00
Mn 0.500 0.500 0.000  4.14
Br 0.744 0.744 0.512  0.00
Br 0.744 0.744 0.000  0.00
Rb 0.750 0.250 0.500  0.00
Rb 0.250 0.750 0.500  0.00

The density of states at the Fermi level comes out at 0.2322 states/eV/atom. As for the raw formation energy: -1124 meV/atom.

---

CaBeS2 after structural relaxation, computed with PBE.

abc: 7.009 7.009 7.009
angles: 35.67 35.67 35.67
Element x y z (fractional)
Be 0.000 0.000 0.000
S 0.095 0.095 0.095
Ca 0.500 0.500 0.500
S 0.905 0.905 0.905

The density of states at the Fermi level comes out at 0.0000 states/eV/atom. As for the raw formation energy: -1311 meV/atom.

---

CrInAsPb2 after structural relaxation, computed with PBE.

abc: 5.784 5.145 5.784
angles: 90.00 90.00 90.00
Each line ends with the local moment (μB).
Element x y z (fractional)
Cr 0.500 0.500 0.500  4.25
Pb 0.000 0.000 0.500  -0.03
In 0.000 0.000 0.000  0.01
As 0.000 0.500 0.000  -0.04
Pb 0.500 0.000 0.000  -0.02

The value obtained for the formation energy is 0.988 eV per atom. The density of states at the Fermi level comes out at 0.5951 states/eV/atom.

---

BiN4 after structural relaxation, computed with PBE.

abc: 4.614 4.614 4.614
angles: 90.00 90.00 90.00
Each line ends with the local moment (μB).
Element x y z (fractional)
N 0.000 0.000 0.000  1.89
N 0.000 0.500 0.500  1.12
Bi 0.500 0.500 0.500  -0.11
N 0.500 0.500 0.000  1.12
N 0.500 0.000 0.500  1.12

The density of states at the Fermi level comes out at 0.5137 states/eV/atom. As for the raw formation energy: 3269 meV/atom.

---

CeBF6 after structural relaxation, computed with PBE.

abc: 4.453 4.453 4.451
angles: 99.95 99.95 99.97
Each line ends with the local moment (μB).
Element x y z (fractional)
F 0.433 0.766 0.766  0.00
F 0.234 0.234 0.567  0.00
Ce 0.000 0.000 0.000  0.97
F 0.766 0.433 0.766  0.00
F 0.567 0.234 0.234  0.00
F 0.766 0.766 0.433  0.00
F 0.234 0.567 0.234  0.00
B 0.500 0.500 0.500  0.00

The density of states at the Fermi level comes out at 1.0194 states/eV/atom. As for the raw formation energy: -3029 meV/atom.

---

AlTlCd after structural relaxation, computed with PBE.

abc: 3.127 4.038 12.413
angles: 109.23 90.35 90.22
Element x y z (fractional)
Tl 0.150 0.749 0.505
Al 0.105 0.443 0.700
Cd 0.118 0.407 0.164
Cd 0.627 0.062 0.318
Tl 0.597 0.720 0.978
Al 0.610 0.026 0.782

The value obtained for the formation energy is 0.156 eV per atom. The density of states at the Fermi level comes out at 0.4132 states/eV/atom.

---

Tb5DyAs6 after structural relaxation, computed with PBE.

abc: 7.162 7.166 7.164
angles: 59.99 80.40 70.52
Element x y z (fractional)
Tb 0.500 0.167 0.666
As 0.250 0.249 0.000
Tb 0.500 0.500 0.000
Tb 0.000 0.333 0.333
Tb 0.500 0.833 0.334
As 0.750 0.751 0.000
As 0.250 0.917 0.667
As 0.250 0.584 0.333
As 0.750 0.416 0.667
Tb 0.000 0.667 0.667
As 0.750 0.083 0.333
Dy 0.000 0.000 0.000

The value obtained for the formation energy is -1.542 eV per atom. The density of states at the Fermi level comes out at 0.1039 states/eV/atom.

---

Li2ZnBrCl after structural relaxation, computed with PBE.

abc: 5.048 5.959 5.048
angles: 90.00 90.00 90.00
Element x y z (fractional)
Br 0.000 0.000 0.000
Zn 0.000 0.500 0.000
Cl 0.500 0.500 0.500
Li 0.500 0.000 0.000
Li 0.000 0.000 0.500

The density of states at the Fermi level comes out at 0.0189 states/eV/atom. As for the raw formation energy: -570 meV/atom.

---

La2Pr6SmY after structural relaxation, computed with PBE.

abc: 10.194 9.017 9.017
angles: 118.16 95.20 95.20
Element x y z (fractional)
Pr 0.446 0.257 0.880
Pr 0.054 0.120 0.743
La 0.959 0.710 0.806
Pr 0.813 0.422 0.982
Sm 0.250 0.986 0.014
Sm 0.750 0.014 0.986
Pr 0.687 0.018 0.578
Pr 0.121 0.703 0.499
Pr 0.621 0.499 0.703
Pr 0.554 0.743 0.120
La 0.041 0.290 0.194
Y 0.250 0.405 0.595
Pr 0.879 0.297 0.501
La 0.459 0.806 0.710
Pr 0.379 0.501 0.297
La 0.541 0.194 0.290
Pr 0.313 0.982 0.422
Pr 0.946 0.880 0.257
Pr 0.187 0.578 0.018
Y 0.750 0.595 0.405

The value obtained for the formation energy is 0.104 eV per atom. The density of states at the Fermi level comes out at 1.5509 states/eV/atom.

---

CoBi3S after structural relaxation, computed with PBE.

abc: 5.294 5.294 5.294
angles: 90.00 90.00 90.00
Element x y z (fractional)
Bi 0.500 0.000 0.000
Bi 0.000 0.500 0.000
Bi 0.000 0.000 0.500
Co 0.500 0.500 0.500
S 0.000 0.000 0.000

The density of states at the Fermi level comes out at 0.3123 states/eV/atom. As for the raw formation energy: 1030 meV/atom.

---

BaMg4In after structural relaxation, computed with PBE.

abc: 4.861 7.776 9.582
angles: 90.00 104.69 90.00
Element x y z (fractional)
Mg 0.072 0.750 0.144
In 0.770 0.250 0.540
Ba 0.875 0.750 0.749
In 0.230 0.750 0.460
Mg 0.500 0.500 0.000
Mg 0.928 0.250 0.856
Mg 0.675 0.939 0.350
Mg 0.325 0.439 0.650
Mg 0.325 0.061 0.650
Ba 0.125 0.250 0.251
Mg 0.675 0.561 0.350
Mg 0.500 0.000 0.000

The value obtained for the formation energy is -0.113 eV per atom. The density of states at the Fermi level comes out at 0.6723 states/eV/atom.

---

CaCd2C after structural relaxation, computed with PBE.

abc: 6.946 6.946 6.928
angles: 59.91 59.91 90.00
Element x y z (fractional)
Cd 0.375 0.623 0.750
C 0.250 0.750 0.500
Ca 0.000 0.000 0.000
Ca 0.750 0.250 0.500
Cd 0.875 0.627 0.750
Cd 0.373 0.625 0.250
C 0.500 0.500 0.000
Cd 0.377 0.125 0.250

The value obtained for the formation energy is 0.799 eV per atom. The density of states at the Fermi level comes out at 0.1437 states/eV/atom.

---

NaAcGePb after structural relaxation, computed with PBE.

abc: 5.522 5.522 5.522
angles: 60.00 60.00 60.00
Element x y z (fractional)
Na 0.500 0.500 0.500
Ge 0.250 0.250 0.250
Ac 0.000 0.000 0.000
Pb 0.750 0.750 0.750

The value obtained for the formation energy is -0.257 eV per atom. The density of states at the Fermi level comes out at 0.7057 states/eV/atom.

---

NdEu2Sc after structural relaxation, computed with PBE.

abc: 3.615 3.615 10.475
angles: 90.00 90.00 90.00
Each line ends with the local moment (μB).
Element x y z (fractional)
Eu 0.000 0.000 0.235  -6.91
Sc 0.500 0.500 0.000  -0.47
Eu 0.000 0.000 0.765  -6.91
Nd 0.500 0.500 0.500  0.04

The value obtained for the formation energy is 0.152 eV per atom. The density of states at the Fermi level comes out at 1.1521 states/eV/atom.

---

CdB after structural relaxation, computed with PBE.

abc: 3.651 11.659 3.155
angles: 90.00 90.00 90.00
Element x y z (fractional)
B 0.500 0.000 0.529
B 0.500 0.500 0.029
Cd 0.000 0.146 0.278
Cd 0.000 0.354 0.778
B 0.500 0.500 0.536
B 0.500 0.000 0.036
Cd 0.000 0.854 0.278
Cd 0.000 0.646 0.778

The value obtained for the formation energy is 0.364 eV per atom. The density of states at the Fermi level comes out at 0.2813 states/eV/atom.

---

La7Zn3 after structural relaxation, computed with PBE.

abc: 6.723 10.384 10.384
angles: 120.00 90.00 90.00
Element x y z (fractional)
La 0.421 0.124 0.876
La 0.421 0.124 0.248
La 0.577 0.333 0.667
Zn 0.860 0.197 0.803
La 0.663 0.930 0.465
Zn 0.860 0.197 0.395
La 0.921 0.876 0.124
La 0.421 0.752 0.876
La 0.163 0.070 0.535
Zn 0.360 0.803 0.197
La 0.077 0.667 0.333
La 0.163 0.465 0.535
La 0.921 0.248 0.124
Zn 0.360 0.803 0.605
La 0.663 0.535 0.070
La 0.921 0.876 0.752
Zn 0.360 0.395 0.197
Zn 0.860 0.605 0.803
La 0.663 0.535 0.465
La 0.163 0.465 0.930

The value obtained for the formation energy is -0.143 eV per atom. The density of states at the Fermi level comes out at 1.3911 states/eV/atom.

---

Nd2Y7Ho after structural relaxation, computed with PBE.

abc: 3.529 14.891 14.891
angles: 154.61 90.00 90.00
Element x y z (fractional)
Nd 0.500 0.707 0.293
Y 0.500 0.343 0.148
Y 0.500 0.852 0.657
Y 0.500 0.500 0.500
Y 0.500 0.148 0.343
Nd 0.500 0.293 0.707
Y 0.500 0.657 0.852
Y 0.000 0.814 0.186
Ho 0.000 0.000 0.000
Y 0.000 0.186 0.814

The value obtained for the formation energy is 0.160 eV per atom. The density of states at the Fermi level comes out at 1.6230 states/eV/atom.

---

Sm4Y5Tm2 after structural relaxation, computed with PBE.

abc: 7.495 6.680 10.010
angles: 62.44 68.01 55.87
Element x y z (fractional)
Sm 0.687 0.124 0.501
Sm 0.328 0.223 0.120
Y 0.350 0.639 0.219
Y 0.650 0.361 0.781
Y 0.792 0.639 0.219
Sm 0.313 0.876 0.499
Y 0.000 0.500 0.500
Tm 0.142 0.839 0.878
Y 0.208 0.361 0.781
Sm 0.672 0.777 0.880
Tm 0.858 0.161 0.122

The value obtained for the formation energy is 0.121 eV per atom. The density of states at the Fermi level comes out at 1.5657 states/eV/atom.